[1]
Here is a geometry-optimized SmTmAs2Pt2 structure from the Open Quantum Materials Database. Energies are from GGA-PBE.

Unit cell a=4.304 b=4.304 c=15.322 alpha=90.00 beta=90.00 gamma=120.00
Positions (direct):
Sm 0.000 0.000 0.000
Sm 0.000 0.000 0.500
Tm 0.000 0.000 0.250
Tm 0.000 0.000 0.750
As 0.333 0.667 0.119
As 0.333 0.667 0.381
As 0.667 0.333 0.619
As 0.667 0.333 0.881
Pt 0.333 0.667 0.643
Pt 0.333 0.667 0.857
Pt 0.667 0.333 0.143
Pt 0.667 0.333 0.357

Output
**Symmetry**: P6_3/mmc, No. 194
**Crystal system**: hexagonal
**E**: -6.345 eV per atom


[2]
Here is a geometry-optimized Be2NbSb structure from the Open Quantum Materials Database. Energies are from GGA-PBE.

Unit cell a=4.483 b=4.483 c=4.483 alpha=60.00 beta=60.00 gamma=60.00
Positions (direct):
Be 0.000 0.000 0.000
Be 0.250 0.250 0.250
Nb 0.750 0.750 0.750
Sb 0.500 0.500 0.500

Output
**Symmetry**: F-43m, No. 216
**Crystal system**: cubic
**E**: -4.711 eV per atom


[3]
Here is a geometry-optimized YAsOsO structure from the Open Quantum Materials Database. Energies are from GGA-PBE.

Unit cell a=4.114 b=6.064 c=5.761 alpha=90.00 beta=90.00 gamma=90.00
Positions (direct):
Y 0.000 0.184 0.000
Y 0.000 0.816 0.500
As 0.000 0.316 0.475
As 0.000 0.684 0.975
Os 0.500 0.493 0.190
Os 0.500 0.507 0.690
O 0.500 0.246 0.920
O 0.500 0.754 0.420

Output
**Offset from the most stable computed form**: 62.61 kJ per mole of atoms
**Symmetry**: Pmc2_1, No. 26
**Crystal system**: orthorhombic
**E**: -7.836 eV per atom


[4]
Here is a geometry-optimized Bi3Mo2W4C3 structure from the Open Quantum Materials Database. Energies are from GGA-PBE.

Unit cell a=5.600 b=5.600 c=14.883 alpha=102.80 beta=102.80 gamma=60.21
Positions (direct):
Bi 0.121 0.879 0.750
Bi 0.213 0.455 0.252
Bi 0.455 0.213 0.752
Bi 0.545 0.787 0.248
Bi 0.787 0.545 0.748
Bi 0.879 0.121 0.250
Mo 0.034 0.686 0.077
Mo 0.314 0.966 0.423
Mo 0.686 0.034 0.577
Mo 0.966 0.314 0.923
W 0.035 0.355 0.573
W 0.296 0.640 0.926
W 0.355 0.035 0.073
W 0.360 0.704 0.574
W 0.640 0.296 0.426
W 0.645 0.965 0.927
W 0.704 0.360 0.074
W 0.965 0.645 0.427
C 0.000 0.000 0.000
C 0.000 0.000 0.500
C 0.330 0.339 0.500
C 0.339 0.330 0.000
C 0.661 0.670 0.000
C 0.670 0.661 0.500

Output
**Symmetry**: C2/c, No. 15
**Crystal system**: monoclinic
**E**: -9.029 eV per atom


[5]
Here is a geometry-optimized NdSnAsO structure from the Open Quantum Materials Database. Energies are from GGA-PBE.

Unit cell a=4.091 b=8.794 c=6.210 alpha=90.00 beta=90.00 gamma=90.00
Positions (direct):
Nd 0.000 0.166 0.000
Nd 0.000 0.834 0.500
Sn 0.500 0.360 0.599
Sn 0.500 0.640 0.099
As 0.000 0.170 0.484
As 0.000 0.830 0.984
O 0.500 0.256 0.922
O 0.500 0.744 0.422

Output
**Offset from the most stable computed form**: 4.79 kJ per mole of atoms
**Symmetry**: Pmc2_1, No. 26
**Crystal system**: orthorhombic
**E**: -5.985 eV per atom


[6]
Here is a geometry-optimized Lu2FeSn structure from the Open Quantum Materials Database. Energies are from GGA-PBE.

Unit cell a=4.825 b=4.825 c=4.825 alpha=60.00 beta=60.00 gamma=60.00
Positions (direct):
Lu 0.000 0.000 0.000
Lu 0.250 0.250 0.250
Fe 0.750 0.750 0.750
Sn 0.500 0.500 0.500

Output
**Symmetry**: F-43m, No. 216
**Crystal system**: cubic
**E**: -5.349 eV per atom


[7]
Here is a geometry-optimized HfAlSi structure from the Open Quantum Materials Database. Energies are from GGA-PBE.

Unit cell a=4.320 b=4.320 c=4.320 alpha=60.00 beta=60.00 gamma=60.00
Positions (direct):
Hf 0.000 0.000 0.000
Al 0.500 0.500 0.500
Si 0.750 0.750 0.750

Output
**Symmetry**: F-43m, No. 216
**Crystal system**: cubic
**E**: -6.336 eV per atom


[8]
Here is a geometry-optimized LuFeGeOs structure from the Open Quantum Materials Database. Energies are from GGA-PBE.

Unit cell a=4.426 b=4.426 c=4.426 alpha=60.00 beta=60.00 gamma=60.00
Positions (direct):
Lu 0.000 0.000 0.000
Fe 0.750 0.750 0.750
Ge 0.500 0.500 0.500
Os 0.250 0.250 0.250

Output
**Offset from the most stable computed form**: 0.00 kJ per mole of atoms
**Symmetry**: F-43m, No. 216
**Crystal system**: cubic
**E**: -7.190 eV per atom


[9]
Here is a geometry-optimized LiCoCuTe3 structure from the Open Quantum Materials Database. Energies are from GGA-PBE.

Unit cell a=6.740 b=6.740 c=10.259 alpha=90.00 beta=90.00 gamma=147.38
Positions (direct):
Li 0.219 0.781 0.750
Li 0.781 0.219 0.250
Co 0.000 0.000 0.000
Co 0.000 0.000 0.500
Cu 0.446 0.554 0.250
Cu 0.554 0.446 0.750
Te 0.081 0.919 0.250
Te 0.365 0.635 0.027
Te 0.365 0.635 0.473
Te 0.635 0.365 0.527
Te 0.635 0.365 0.973
Te 0.919 0.081 0.750

Output
**Symmetry**: Cmcm, No. 63
**Crystal system**: orthorhombic
**E**: -3.891 eV per atom